A plane-wave DFT calculation with PBE-GGA was carried out for Hg2Mo after structural relaxation.

Cell lengths 8.370, 8.370, 2.983 Å; angles 90.00, 90.00, 120.00 degrees
Last column: magnetic moment on the atom in μB.
Sites, in units of the cell vectors:
1 Hg 0.619 0.000 0.500  0.01
2 Hg 0.000 0.293 0.000  0.03
3 Hg 0.000 0.619 0.500  0.01
4 Hg 0.293 0.000 0.000  0.03
5 Hg 0.381 0.381 0.500  0.01
6 Hg 0.707 0.707 0.000  0.03
7 Mo 0.333 0.667 0.000  1.08
8 Mo 0.667 0.333 0.000  1.08
9 Mo 0.000 0.000 0.500  1.11

## Properties
Energy of formation: 78 kJ per mole of atoms
Crystal system: hexagonal